A relaxed structure of AcPm2O, computed with PBE.

Lattice parameters (Å, degrees): 3.724 3.724 27.854 90.00 90.00 120.00
Fractional coordinates of all 12 atoms:
Ac 0.000 0.000 0.000
Ac 0.333 0.667 0.667
Ac 0.667 0.333 0.333
Pm 0.000 0.000 0.216
Pm 0.000 0.000 0.784
Pm 0.333 0.667 0.451
Pm 0.333 0.667 0.882
Pm 0.667 0.333 0.118
Pm 0.667 0.333 0.549
O 0.000 0.000 0.500
O 0.333 0.667 0.167
O 0.667 0.333 0.833

ΔE_f (raw), eV per atom: -1.256
N(E_F), states/eV per cell: 13.07



A relaxed structure of SnNClF2, computed with PBE.

Lattice parameters (Å, degrees): 4.177 4.177 4.270 90.00 90.00 90.00
Fractional coordinates of all 5 atoms:
Sn 0.000 0.000 0.000
N 0.000 0.000 0.500
Cl 0.500 0.500 0.500
F 0.000 0.500 0.000
F 0.500 0.000 0.000

ΔE_f (raw), eV per atom: -0.528
N(E_F), states/eV per cell: 2.01



A relaxed structure of TaAgBr2, computed with PBE.

Lattice parameters (Å, degrees): 3.208 4.500 6.065 90.00 91.90 90.00
Fractional coordinates of all 4 atoms:
Ta 0.000 0.000 0.000
Ag 0.500 0.000 0.500
Br 0.150 0.500 0.236
Br 0.850 0.500 0.764

ΔE_f (raw), eV per atom: 0.381
N(E_F), states/eV per cell: 2.96



A relaxed structure of NaTm2Cd3, computed with PBE.

Lattice parameters (Å, degrees): 3.620 3.620 11.742 90.00 90.00 90.00
Fractional coordinates of all 6 atoms:
Na 0.000 0.000 0.000
Tm 0.000 0.000 0.337
Tm 0.000 0.000 0.663
Cd 0.500 0.500 0.178
Cd 0.500 0.500 0.500
Cd 0.500 0.500 0.822

Formation energy from the elements, eV/f.u.: -1.29
N(E_F), states/eV per cell: 3.71



A relaxed structure of Ac2Ge2I, computed with PBE.

Lattice parameters (Å, degrees): 10.399 10.399 10.399 129.95 55.94 156.63
Fractional coordinates of all 10 atoms:
Ac 0.349 0.000 0.849
Ac 0.349 0.500 0.349
Ac 0.651 0.000 0.151
Ac 0.651 0.500 0.651
Ge 0.206 0.250 0.956
Ge 0.206 0.750 0.456
Ge 0.794 0.250 0.544
Ge 0.794 0.750 0.044
I 0.499 0.249 0.250
I 0.501 0.751 0.750

ΔE_f (raw), eV per atom: -0.932
N(E_F), states/eV per cell: 2.16



A relaxed structure of Mg2HS, computed with PBE.

Lattice parameters (Å, degrees): 4.871 4.871 12.376 90.00 90.00 90.00
Fractional coordinates of all 16 atoms:
Mg 0.193 0.250 0.125
Mg 0.250 0.693 0.375
Mg 0.250 0.807 0.875
Mg 0.307 0.250 0.625
Mg 0.693 0.750 0.625
Mg 0.750 0.193 0.875
Mg 0.750 0.307 0.375
Mg 0.807 0.750 0.125
H 0.000 0.000 0.000
H 0.000 0.500 0.250
H 0.500 0.000 0.750
H 0.500 0.500 0.500
S 0.000 0.000 0.500
S 0.000 0.500 0.750
S 0.500 0.000 0.250
S 0.500 0.500 0.000

N(E_F), states/eV per cell: 2.79



A relaxed structure of RbPr2Be2O6, computed with PBE.

Lattice parameters (Å, degrees): 5.994 6.218 6.399 95.38 115.37 112.67
Fractional coordinates of all 11 atoms:
Rb 0.000 0.000 0.000
Pr 0.365 0.296 0.669
Pr 0.635 0.704 0.331
Be 0.288 0.732 0.708
Be 0.712 0.268 0.292
O 0.122 0.874 0.639
O 0.314 0.601 0.907
O 0.452 0.697 0.586
O 0.548 0.303 0.414
O 0.686 0.399 0.093
O 0.878 0.126 0.361

ΔE_f (raw), eV per atom: -2.514
N(E_F), states/eV per cell: 4.46



A relaxed structure of Sr3Dy2UP6, computed with PBE.

Lattice parameters (Å, degrees): 7.133 7.133 7.344 99.33 99.33 120.00
Fractional coordinates of all 12 atoms:
Sr 0.000 0.000 0.000
Sr 0.330 0.670 0.000
Sr 0.670 0.330 0.000
Dy 0.166 0.834 0.500
Dy 0.834 0.166 0.500
U 0.500 0.500 0.500
P 0.112 0.429 0.285
P 0.256 0.256 0.714
P 0.429 0.112 0.285
P 0.571 0.888 0.715
P 0.744 0.744 0.286
P 0.888 0.571 0.715

Formation energy from the elements, eV/f.u.: -14.94



A relaxed structure of Ba6Bi2AsSe, computed with PBE.

Lattice parameters (Å, degrees): 8.156 9.258 14.544 90.00 123.99 90.00
Fractional coordinates of all 20 atoms:
Ba 0.112 0.186 0.433
Ba 0.112 0.314 0.933
Ba 0.259 0.694 0.435
Ba 0.259 0.806 0.935
Ba 0.385 0.049 0.252
Ba 0.385 0.451 0.752
Ba 0.615 0.549 0.248
Ba 0.615 0.951 0.748
Ba 0.741 0.194 0.065
Ba 0.741 0.306 0.565
Ba 0.888 0.686 0.067
Ba 0.888 0.814 0.567
Bi 0.208 0.096 0.752
Bi 0.208 0.404 0.252
Bi 0.792 0.596 0.748
Bi 0.792 0.904 0.248
As 0.500 0.000 0.500
As 0.500 0.500 0.000
Se 0.000 0.000 0.000
Se 0.000 0.500 0.500

ΔE_f (raw), eV per atom: -1.124
N(E_F), states/eV per cell: 8.42



A relaxed structure of InGaN3, computed with PBE.

Lattice parameters (Å, degrees): 3.939 3.939 3.939 90.00 90.00 90.00
Fractional coordinates of all 5 atoms:
In 0.000 0.000 0.000
Ga 0.500 0.500 0.500
N 0.000 0.500 0.500
N 0.500 0.000 0.500
N 0.500 0.500 0.000

ΔE_f (raw), eV per atom: 1.438
N(E_F), states/eV per cell: 2.16



A relaxed structure of ReHg2GePb, computed with PBE.

Lattice parameters (Å, degrees): 5.617 5.617 5.361 90.00 90.00 90.00
Fractional coordinates of all 5 atoms:
Re 0.000 0.000 0.000
Hg 0.000 0.500 0.500
Hg 0.500 0.000 0.500
Ge 0.500 0.500 0.000
Pb 0.000 0.000 0.500

Formation energy from the elements, eV/f.u.: 8.31
N(E_F), states/eV per cell: 3.99



A relaxed structure of BaRe2IrO, computed with PBE.

Lattice parameters (Å, degrees): 4.167 4.167 5.131 90.00 90.00 90.00
Fractional coordinates of all 5 atoms:
Ba 0.000 0.000 0.000
Re 0.000 0.500 0.500
Re 0.500 0.000 0.500
Ir 0.500 0.500 0.000
O 0.500 0.500 0.500

ΔE_f (raw), eV per atom: 1.047
N(E_F), states/eV per cell: 6.53



A relaxed structure of CrW2AuN, computed with PBE.

Lattice parameters (Å, degrees): 4.127 4.127 3.979 90.00 90.00 90.00
Fractional coordinates of all 5 atoms:
Cr 0.000 0.000 0.000
W 0.000 0.500 0.500
W 0.500 0.000 0.500
Au 0.500 0.500 0.000
N 0.000 0.000 0.500

ΔE_f (raw), eV per atom: 0.063
N(E_F), states/eV per cell: 4.50



A relaxed structure of Sr2Mg3Pd2, computed with PBE.

Lattice parameters (Å, degrees): 11.360 4.358 7.996 90.00 115.63 90.00
Fractional coordinates of all 14 atoms:
Sr 0.140 0.000 0.280
Sr 0.360 0.500 0.720
Sr 0.640 0.500 0.280
Sr 0.860 0.000 0.720
Mg 0.000 0.500 0.500
Mg 0.146 0.500 0.934
Mg 0.354 0.000 0.066
Mg 0.500 0.000 0.500
Mg 0.646 0.000 0.934
Mg 0.854 0.500 0.066
Pd 0.138 0.000 0.710
Pd 0.362 0.500 0.290
Pd 0.638 0.500 0.710
Pd 0.862 0.000 0.290

Formation energy from the elements, eV/f.u.: -3.47
N(E_F), states/eV per cell: 6.83



A relaxed structure of Rb6TeBr4, computed with PBE.

Lattice parameters (Å, degrees): 8.573 8.573 24.443 90.00 90.00 145.82
Fractional coordinates of all 22 atoms:
Rb 0.000 0.000 0.000
Rb 0.000 0.000 0.500
Rb 0.193 0.807 0.750
Rb 0.267 0.733 0.091
Rb 0.267 0.733 0.409
Rb 0.448 0.552 0.666
Rb 0.448 0.552 0.834
Rb 0.552 0.448 0.166
Rb 0.552 0.448 0.334
Rb 0.733 0.267 0.591
Rb 0.733 0.267 0.909
Rb 0.807 0.193 0.250
Te 0.158 0.842 0.250
Te 0.842 0.158 0.750
Br 0.093 0.907 0.628
Br 0.093 0.907 0.872
Br 0.361 0.639 0.539
Br 0.361 0.639 0.961
Br 0.639 0.361 0.039
Br 0.639 0.361 0.461
Br 0.907 0.093 0.128
Br 0.907 0.093 0.372

ΔE_f (raw), eV per atom: -1.519



A relaxed structure of LaZrCu2F, computed with PBE.

Lattice parameters (Å, degrees): 4.968 4.968 4.174 90.00 90.00 90.00
Fractional coordinates of all 5 atoms:
La 0.000 0.000 0.000
Zr 0.500 0.500 0.000
Cu 0.000 0.500 0.500
Cu 0.500 0.000 0.500
F 0.500 0.500 0.500

ΔE_f (raw), eV per atom: -0.352
N(E_F), states/eV per cell: 4.89



A relaxed structure of Tb2Pm4Tm, computed with PBE.

Lattice parameters (Å, degrees): 6.255 6.255 15.621 90.00 90.00 129.52
Fractional coordinates of all 14 atoms:
Tb 0.108 0.892 0.844
Tb 0.392 0.608 0.344
Tb 0.608 0.392 0.656
Tb 0.892 0.108 0.156
Pm 0.097 0.903 0.306
Pm 0.203 0.797 0.070
Pm 0.297 0.703 0.570
Pm 0.403 0.597 0.806
Pm 0.597 0.403 0.194
Pm 0.703 0.297 0.430
Pm 0.797 0.203 0.930
Pm 0.903 0.097 0.694
Tm 0.000 0.000 0.500
Tm 0.500 0.500 0.000

Formation energy from the elements, eV/f.u.: 1.13
N(E_F), states/eV per cell: 19.07



A relaxed structure of CeTm4In, computed with PBE.

Lattice parameters (Å, degrees): 7.668 7.668 9.813 90.00 90.00 143.70
Fractional coordinates of all 12 atoms:
Ce 0.168 0.832 0.500
Ce 0.832 0.168 0.000
Tm 0.005 0.995 0.759
Tm 0.167 0.833 0.016
Tm 0.325 0.675 0.762
Tm 0.499 0.501 0.509
Tm 0.501 0.499 0.009
Tm 0.675 0.325 0.262
Tm 0.833 0.167 0.516
Tm 0.995 0.005 0.259
In 0.337 0.663 0.259
In 0.663 0.337 0.759

Formation energy from the elements, eV/f.u.: -0.57
N(E_F), states/eV per cell: 21.86



A relaxed structure of Sc5FeOs, computed with PBE.

Lattice parameters (Å, degrees): 6.748 6.748 7.905 114.13 114.13 65.54
Fractional coordinates of all 14 atoms:
Sc 0.054 0.946 0.750
Sc 0.183 0.329 0.663
Sc 0.303 0.693 0.064
Sc 0.307 0.697 0.436
Sc 0.329 0.183 0.163
Sc 0.671 0.817 0.837
Sc 0.693 0.303 0.564
Sc 0.697 0.307 0.936
Sc 0.817 0.671 0.337
Sc 0.946 0.054 0.250
Fe 0.392 0.608 0.750
Fe 0.608 0.392 0.250
Os 0.000 0.500 0.000
Os 0.500 0.000 0.500

Formation energy from the elements, eV/f.u.: -0.29
N(E_F), states/eV per cell: 10.82



A relaxed structure of LaCeHg4, computed with PBE.

Lattice parameters (Å, degrees): 3.466 8.826 5.117 90.00 90.15 90.00
Fractional coordinates of all 6 atoms:
La 0.000 0.000 0.000
Ce 0.000 0.500 0.500
Hg 0.500 0.168 0.500
Hg 0.500 0.335 0.000
Hg 0.500 0.665 0.000
Hg 0.500 0.832 0.500

Formation energy from the elements, eV/f.u.: -2.53
N(E_F), states/eV per cell: 8.00



A relaxed structure of NiRh3Br, computed with PBE.

Lattice parameters (Å, degrees): 4.580 4.580 4.580 90.00 90.00 90.00
Fractional coordinates of all 5 atoms:
Ni 0.000 0.000 0.000
Rh 0.000 0.000 0.500
Rh 0.000 0.500 0.000
Rh 0.500 0.000 0.000
Br 0.500 0.500 0.500

ΔE_f (raw), eV per atom: 1.218
N(E_F), states/eV per cell: 8.25



A relaxed structure of TiInTcNi, computed with PBE.

Lattice parameters (Å, degrees): 6.272 6.272 6.272 90.00 90.00 90.00
Fractional coordinates of all 16 atoms:
Ti 0.000 0.000 0.000
Ti 0.000 0.500 0.500
Ti 0.500 0.000 0.500
Ti 0.500 0.500 0.000
In 0.000 0.000 0.500
In 0.000 0.500 0.000
In 0.500 0.000 0.000
In 0.500 0.500 0.500
Tc 0.250 0.250 0.750
Tc 0.250 0.750 0.250
Tc 0.750 0.250 0.250
Tc 0.750 0.750 0.750
Ni 0.250 0.250 0.250
Ni 0.250 0.750 0.750
Ni 0.750 0.250 0.750
Ni 0.750 0.750 0.250

Formation energy from the elements, eV/f.u.: -0.67
N(E_F), states/eV per cell: 2.96



A relaxed structure of LiCeZr, computed with PBE.

Lattice parameters (Å, degrees): 3.041 3.041 15.149 90.00 90.00 90.00
Fractional coordinates of all 6 atoms:
Li 0.000 0.000 0.000
Li 0.500 0.500 0.500
Ce 0.000 0.000 0.321
Ce 0.500 0.500 0.821
Zr 0.000 0.000 0.659
Zr 0.500 0.500 0.159

Formation energy from the elements, eV/f.u.: 0.46
N(E_F), states/eV per cell: 8.37



A relaxed structure of Ce2MgMo, computed with PBE.

Lattice parameters (Å, degrees): 3.195 3.195 33.732 90.00 90.00 120.00
Fractional coordinates of all 12 atoms:
Ce 0.000 0.000 0.100
Ce 0.000 0.000 0.900
Ce 0.333 0.667 0.567
Ce 0.333 0.667 0.767
Ce 0.667 0.333 0.233
Ce 0.667 0.333 0.433
Mg 0.000 0.000 0.000
Mg 0.333 0.667 0.667
Mg 0.667 0.333 0.333
Mo 0.000 0.000 0.500
Mo 0.333 0.667 0.167
Mo 0.667 0.333 0.833

Formation energy from the elements, eV/f.u.: 1.58
N(E_F), states/eV per cell: 25.81



| no. | E_tot (eV per cell) |
| --- | --- |
| 1 | -70.78 |
| 2 | -20.56 |
| 3 | -16.52 |
| 4 | -14.29 |
| 5 | -47.33 |
| 6 | -50.06 |
| 7 | -75.38 |
| 8 | -72.93 |
| 9 | -77.35 |
| 10 | -23.55 |
| 11 | -13.07 |
| 12 | -35.40 |
| 13 | -46.82 |
| 14 | -44.01 |
| 15 | -64.70 |
| 16 | -25.30 |
| 17 | -63.20 |
| 18 | -54.26 |
| 19 | -103.28 |
| 20 | -14.60 |
| 21 | -23.42 |
| 22 | -109.82 |
| 23 | -31.88 |
| 24 | -68.13 |